A relaxed structure of Ba2InTe. Source: the Alexandria database, functional PBE-GGA.

Computed properties:
E_form (uncorrected): -74.9 kJ/mol of atoms
Space group: Imm2, No. 44
E above lowest polymorph: 154 meV per atom

a b c (Å): 7.4653 7.4653 7.4653
angles (deg): 144.76 137.19 56.61
Atoms (fractional coordinates):
Ba 0.9735 0.9735 0.0000
Ba 0.2449 0.7449 0.5000
In 0.5372 0.5372 0.0000
Te 0.7444 0.2444 0.5000

=====

A relaxed structure of CuTeSe2. Source: the Alexandria database, functional PBE-GGA.

Computed properties:
E_form (uncorrected): 42.4 kJ/mol of atoms
Space group: P4/mmm, No. 123

a b c (Å): 3.4620 4.9059 4.9059
angles (deg): 90.00 90.00 90.00
Atoms (fractional coordinates):
Cu 0.5000 0.0000 0.5000
Se 0.0000 0.0000 0.0000
Se 0.0000 0.5000 0.5000
Te 0.5000 0.5000 0.0000

=====

A relaxed structure of DyGe3Os. Source: the Alexandria database, functional PBE-GGA.

Computed properties:
Space group: P-1, No. 2
DFT formation energy: -0.1805 eV per atom

a b c (Å): 4.9354 4.4567 9.2756
angles (deg): 103.89 90.18 89.99
Atoms (fractional coordinates):
Dy 0.2568 0.5786 0.1561
Dy 0.7432 0.4214 0.8439
Ge 0.7898 0.0507 0.1010
Ge 0.2102 0.9493 0.8990
Ge 0.2237 0.3185 0.6366
Ge 0.7763 0.6815 0.3634
Ge 0.4870 0.1746 0.3483
Ge 0.5130 0.8254 0.6517
Os 0.9993 0.8109 0.6212
Os 0.0007 0.1891 0.3788

=====

A relaxed structure of AcNd2Au. Source: the Alexandria database, functional PBE-GGA.

Computed properties:
Space group: Cmcm, No. 63
DFT formation energy: -0.3792 eV per atom
E above lowest polymorph: 8 meV per atom

a b c (Å): 5.1686 6.7482 8.2127
angles (deg): 90.00 90.00 112.48
Atoms (fractional coordinates):
Ac 0.9498 0.8996 0.2500
Ac 0.0502 0.1004 0.7500
Nd 0.3540 0.7083 0.5352
Nd 0.6460 0.2917 0.4648
Nd 0.3540 0.7083 0.9648
Nd 0.6460 0.2917 0.0352
Au 0.7936 0.5866 0.7500
Au 0.2064 0.4134 0.2500

=====

A relaxed structure of In2Ge5Pd12. Source: the Alexandria database, functional PBE-GGA.

Computed properties:
Space group: C2/m, No. 12
DFT formation energy: -0.3596 eV per atom

a b c (Å): 5.6641 7.7763 8.4047
angles (deg): 104.17 90.00 111.36
Atoms (fractional coordinates):
In 0.7534 0.0000 0.0000
In 0.2466 0.0000 0.0000
Ge 0.3031 0.6062 0.6328
Ge 0.3415 0.6830 0.1496
Ge 0.0000 0.0000 0.5000
Ge 0.6585 0.3170 0.8504
Ge 0.6969 0.3938 0.3672
Pd 0.0877 0.1754 0.2880
Pd 0.0580 0.6111 0.8855
Pd 0.5531 0.6111 0.8855
Pd 0.1013 0.6973 0.4077
Pd 0.5960 0.6973 0.4077
Pd 0.4864 0.9728 0.6892
Pd 0.5136 0.0272 0.3108
Pd 0.8987 0.3027 0.5923
Pd 0.4040 0.3027 0.5923
Pd 0.9420 0.3889 0.1145
Pd 0.4469 0.3889 0.1145
Pd 0.9123 0.8246 0.7120

=====

A relaxed structure of Tb6Ru2C. Source: the Alexandria database, functional PBE-GGA.

Computed properties:
Space group: P2_1/c, No. 14
DFT formation energy: -0.2904 eV per atom

a b c (Å): 6.5105 7.2601 9.2674
angles (deg): 90.00 90.25 90.00
Atoms (fractional coordinates):
Tb 0.8745 0.9515 0.2538
Tb 0.8379 0.6960 0.5617
Tb 0.8166 0.6640 0.9388
Tb 0.6834 0.1640 0.5612
Tb 0.6621 0.1960 0.9383
Tb 0.6255 0.4515 0.2462
Tb 0.1255 0.0485 0.7462
Tb 0.1621 0.3040 0.4383
Tb 0.1834 0.3360 0.0612
Tb 0.3166 0.8360 0.4388
Tb 0.3379 0.8040 0.0617
Tb 0.3745 0.5485 0.7538
Ru 0.9684 0.3995 0.7528
Ru 0.5316 0.8995 0.7472
Ru 0.4684 0.1005 0.2528
Ru 0.0316 0.6005 0.2472
C 0.5000 0.5000 0.0000
C 0.0000 0.0000 0.5000

=====

A relaxed structure of Li3NiSn3. Source: the Alexandria database, functional PBE-GGA.

Computed properties:
Space group: C2/m, No. 12
DFT formation energy: -0.2295 eV per atom

a b c (Å): 6.4744 6.4744 6.8277
angles (deg): 91.85 91.85 84.92
Atoms (fractional coordinates):
Li 0.2491 0.2491 0.5445
Li 0.2668 0.7332 0.5000
Li 0.7332 0.2668 0.5000
Li 0.3403 0.6597 0.0000
Li 0.6597 0.3403 0.0000
Li 0.7509 0.7509 0.4555
Ni 0.2362 0.2362 0.9528
Ni 0.7638 0.7638 0.0472
Sn 0.9847 0.9847 0.7724
Sn 0.4841 0.0256 0.2222
Sn 0.0256 0.4841 0.2222
Sn 0.5159 0.9744 0.7778
Sn 0.9744 0.5159 0.7778
Sn 0.0153 0.0153 0.2276

=====

A relaxed structure of Cd4In3Hg16. Source: the Alexandria database, functional PBE-GGA.

Computed properties:
Space group: P-1, No. 2
DFT formation energy: 0.0118 eV per atom

a b c (Å): 8.0974 7.9509 12.0561
angles (deg): 62.41 64.30 69.70
Atoms (fractional coordinates):
Cd 0.5057 0.0115 0.8303
Cd 0.0052 0.5151 0.1563
Cd 0.9948 0.4849 0.8437
Cd 0.4943 0.9885 0.1697
In 0.0000 0.5000 0.5000
In 0.0000 0.0000 0.0000
In 0.5000 0.0000 0.5000
Hg 0.0950 0.8899 0.7242
Hg 0.2524 0.2457 0.0028
Hg 0.7322 0.2683 0.8200
Hg 0.6380 0.3544 0.0891
Hg 0.2678 0.7317 0.1800
Hg 0.7476 0.7543 0.9972
Hg 0.9050 0.1101 0.2758
Hg 0.7507 0.7444 0.6741
Hg 0.5446 0.4611 0.3559
Hg 0.2447 0.2456 0.6738
Hg 0.1899 0.8165 0.4533
Hg 0.3620 0.6456 0.9109
Hg 0.7553 0.7544 0.3262
Hg 0.8101 0.1835 0.5467
Hg 0.2493 0.2556 0.3259
Hg 0.4554 0.5389 0.6441

=====

A relaxed structure of CaSe2O2. Source: the Alexandria database, functional PBE-GGA.

Computed properties:
E_form (uncorrected): -63.8 kJ/mol of atoms
Space group: P4/mbm, No. 127
E above lowest polymorph: 0 meV per atom

a b c (Å): 7.1809 7.1809 3.9040
angles (deg): 90.00 90.00 90.00
Atoms (fractional coordinates):
Ca 0.0000 0.0000 0.0000
Ca 0.5000 0.5000 0.0000
O 0.3185 0.8185 0.5000
O 0.8185 0.6815 0.5000
O 0.6815 0.1815 0.5000
O 0.1815 0.3185 0.5000
Se 0.3742 0.8742 0.0000
Se 0.8742 0.6258 0.0000
Se 0.6258 0.1258 0.0000
Se 0.1258 0.3742 0.0000

=====

A relaxed structure of Ti3GeSb. Source: the Alexandria database, functional PBE-GGA.

Computed properties:
E_form (uncorrected): 18.7 kJ/mol of atoms
Space group: Pm-3m, No. 221
E above lowest polymorph: 537 meV per atom

a b c (Å): 4.7206 4.7206 4.7206
angles (deg): 90.00 90.00 90.00
Atoms (fractional coordinates):
Sb 0.5000 0.5000 0.5000
Ge 0.0000 0.0000 0.0000
Ti 0.0000 0.5000 0.0000
Ti 0.0000 0.0000 0.5000
Ti 0.5000 0.0000 0.0000

=====

A relaxed structure of SmNpB4. Source: the Alexandria database, functional PBE-GGA.

Computed properties:
Space group: Pbam, No. 55
DFT formation energy: -0.2085 eV per atom
E above lowest polymorph: 0 meV per atom

a b c (Å): 4.0287 6.1495 11.9719
angles (deg): 90.00 90.00 90.00
Atoms (fractional coordinates):
Sm 0.0000 0.6185 0.3430
Sm 0.0000 0.3815 0.6570
Sm 0.0000 0.1185 0.1570
Sm 0.0000 0.8815 0.8430
Np 0.0000 0.6191 0.0755
Np 0.0000 0.3809 0.9245
Np 0.0000 0.1191 0.4245
Np 0.0000 0.8809 0.5755
B 0.5000 0.7936 0.1870
B 0.5000 0.2064 0.8130
B 0.5000 0.2936 0.3130
B 0.5000 0.7064 0.6870
B 0.5000 0.8696 0.0312
B 0.5000 0.1304 0.9688
B 0.5000 0.3696 0.4688
B 0.5000 0.6304 0.5312
B 0.5000 0.8746 0.4473
B 0.5000 0.1254 0.5527
B 0.5000 0.3746 0.0527
B 0.5000 0.6254 0.9473
B 0.5000 0.9794 0.3061
B 0.5000 0.0206 0.6939
B 0.5000 0.4794 0.1939
B 0.5000 0.5206 0.8061

=====

A relaxed structure of Rb6Cd3Hg. Source: the Alexandria database, functional PBE-GGA.

Computed properties:
Space group: P2_1/c, No. 14
DFT formation energy: -0.0218 eV per atom

a b c (Å): 7.7000 11.2408 11.5282
angles (deg): 90.24 90.00 90.00
Atoms (fractional coordinates):
Rb 0.9244 0.3304 0.0730
Rb 0.9181 0.3331 0.4281
Rb 0.7544 0.1653 0.7533
Rb 0.2456 0.8347 0.2467
Rb 0.0819 0.6669 0.5719
Rb 0.0756 0.6696 0.9270
Rb 0.5756 0.8304 0.5730
Rb 0.5819 0.8331 0.9281
Rb 0.7456 0.6653 0.2533
Rb 0.2544 0.3347 0.7467
Rb 0.4181 0.1669 0.0719
Rb 0.4244 0.1696 0.4270
Cd 0.3443 0.4744 0.2489
Cd 0.5000 0.5000 0.0000
Cd 0.6557 0.5256 0.7511
Cd 0.1557 0.9744 0.7489
Cd 0.0000 0.0000 0.5000
Cd 0.8443 0.0256 0.2511
Hg 0.5000 0.5000 0.5000
Hg 0.0000 0.0000 0.0000

=====

A relaxed structure of Th2TiGe3Rh4. Source: the Alexandria database, functional PBE-GGA.

Computed properties:
Space group: P-4m2, No. 115
DFT formation energy: -0.8936 eV per atom

a b c (Å): 4.1912 4.1912 10.5835
angles (deg): 90.00 90.00 90.00
Atoms (fractional coordinates):
Th 0.5000 0.0000 0.2461
Th 0.0000 0.5000 0.7539
Ti 0.5000 0.5000 0.5000
Ge 0.0000 0.0000 0.5000
Ge 0.5000 0.0000 0.8706
Ge 0.0000 0.5000 0.1294
Rh 0.5000 0.5000 0.0000
Rh 0.0000 0.0000 0.0000
Rh 0.5000 0.0000 0.6378
Rh 0.0000 0.5000 0.3622

=====

A relaxed structure of In2FeAs. Source: the Alexandria database, functional PBE-GGA.

Computed properties:
Space group: I-4m2, No. 119
DFT formation energy: 0.3820 eV per atom

a b c (Å): 5.5258 5.5258 5.5258
angles (deg): 135.78 135.78 64.33
Atoms (fractional coordinates):
As 0.5000 0.5000 0.0000
Fe 0.7500 0.2500 0.5000
In 0.0000 0.0000 0.0000
In 0.2500 0.7500 0.5000

=====

A relaxed structure of ScAsW2. Source: the Alexandria database, functional PBE-GGA.

Computed properties:
Space group: Cmm2, No. 35
DFT formation energy: 0.0665 eV per atom

a b c (Å): 2.9245 2.9245 8.5851
angles (deg): 90.00 90.00 110.46
Atoms (fractional coordinates):
As 0.0000 0.0000 0.4922
Sc 0.5000 0.5000 0.7419
W 0.0000 0.0000 0.0116
W 0.5000 0.5000 0.2544

=====

A relaxed structure of Rb5Ag2O5. Source: the Alexandria database, functional PBE-GGA.

Computed properties:
E_form (uncorrected): -70.7 kJ/mol of atoms
Space group: C2/m, No. 12

a b c (Å): 4.3711 6.6445 9.8080
angles (deg): 91.09 90.00 109.20
Atoms (fractional coordinates):
Rb 0.5000 0.0000 0.5000
Rb 0.6242 0.2485 0.9367
Rb 0.7657 0.5315 0.3472
Rb 0.2343 0.4685 0.6528
Rb 0.3758 0.7515 0.0633
Ag 0.9293 0.8587 0.7938
Ag 0.0707 0.1413 0.2062
O 0.1431 0.2861 0.3948
O 0.4363 0.8726 0.7949
O 0.5637 0.1274 0.2051
O 0.8569 0.7139 0.6052
O 0.0000 0.0000 0.0000

=====

A relaxed structure of KLa3Si. Source: the Alexandria database, functional PBE-GGA.

Computed properties:
E_form (uncorrected): 108.2 kJ/mol of atoms
Space group: Pm-3m, No. 221
E above lowest polymorph: 1059 meV per atom

a b c (Å): 5.3794 5.3794 5.3794
angles (deg): 90.00 90.00 90.00
Atoms (fractional coordinates):
K 0.0000 0.0000 0.0000
Si 0.5000 0.5000 0.5000
La 0.0000 0.5000 0.0000
La 0.0000 0.0000 0.5000
La 0.5000 0.0000 0.0000

=====

A relaxed structure of Cs2PrSnSe4. Source: the Alexandria database, functional PBE-GGA.

Computed properties:
E_form (uncorrected): -102.6 kJ/mol of atoms
Space group: Fddd, No. 70

a b c (Å): 7.1640 8.5587 13.6830
angles (deg): 83.71 74.82 65.26
Atoms (fractional coordinates):
Cs 0.1827 0.0000 0.6347
Cs 0.8173 0.0000 0.3653
Cs 0.5673 0.5000 0.8653
Cs 0.9327 0.5000 0.1347
Pr 0.7500 0.5000 0.5000
Pr 0.0000 0.0000 0.0000
Sn 0.2500 0.5000 0.5000
Sn 0.5000 0.0000 0.0000
Se 0.3090 0.7965 0.1069
Se 0.2124 0.2035 0.8931
Se 0.8945 0.7965 0.8931
Se 0.5842 0.2035 0.1069
Se 0.4410 0.7035 0.3931
Se 0.5376 0.2965 0.6069
Se 0.8555 0.7035 0.6069
Se 0.1658 0.2965 0.3931

=====

A relaxed structure of NdLu2Ga. Source: the Alexandria database, functional PBE-GGA.

Computed properties:
Space group: P4/mmm, No. 123
DFT formation energy: -0.2921 eV per atom
E above lowest polymorph: 0 meV per atom

a b c (Å): 3.4942 3.4942 8.8320
angles (deg): 90.00 90.00 90.00
Atoms (fractional coordinates):
Lu 0.0000 0.0000 0.7963
Lu 0.0000 0.0000 0.2037
Nd 0.5000 0.5000 0.5000
Ga 0.5000 0.5000 0.0000

=====

A relaxed structure of PrGa4CoPt2. Source: the Alexandria database, functional PBE-GGA.

Computed properties:
Space group: R-3m, No. 166
DFT formation energy: -0.6282 eV per atom

a b c (Å): 4.2591 4.2591 9.1532
angles (deg): 76.55 76.55 60.00
Atoms (fractional coordinates):
Pr 0.0000 0.0000 0.0000
Ga 0.4029 0.4029 0.7914
Ga 0.8651 0.8651 0.4048
Ga 0.1349 0.1349 0.5952
Ga 0.5971 0.5971 0.2086
Co 0.5000 0.5000 0.5000
Pt 0.7660 0.7660 0.7019
Pt 0.2340 0.2340 0.2981

=====

A relaxed structure of LiZrAgI2. Source: the Alexandria database, functional PBE-GGA.

Computed properties:
E_form (uncorrected): 46.1 kJ/mol of atoms
Space group: P4/mmm, No. 123
E above lowest polymorph: 0 meV per atom

a b c (Å): 5.0741 5.2734 5.0741
angles (deg): 90.00 90.00 90.00
Atoms (fractional coordinates):
I 0.0000 0.0000 0.5000
I 0.5000 0.0000 0.0000
Zr 0.0000 0.5000 0.0000
Ag 0.5000 0.5000 0.5000
Li 0.0000 0.0000 0.0000

=====

Number 1: DFT total energy -12.83 eV/f.u.. Number 2: DFT total energy -12.45 eV/f.u.. Number 3: DFT total energy -30.59 eV/f.u.. Number 4: DFT total energy -18.44 eV/f.u.. Number 5: DFT total energy -97.71 eV/f.u.. Number 6: DFT total energy -58.17 eV/f.u.. Number 7: DFT total energy -25.14 eV/f.u.. Number 8: DFT total energy -16.43 eV/f.u.. Number 9: DFT total energy -22.19 eV/f.u.. Number 10: DFT total energy -31.46 eV/f.u.. Number 11: DFT total energy -45.62 eV/f.u.. Number 12: DFT total energy -9.07 eV/f.u.. Number 13: DFT total energy -74.93 eV/f.u.. Number 14: DFT total energy -17.06 eV/f.u.. Number 15: DFT total energy -36.62 eV/f.u.. Number 16: DFT total energy -44.13 eV/f.u.. Number 17: DFT total energy -15.70 eV/f.u.. Number 18: DFT total energy -32.93 eV/f.u.. Number 19: DFT total energy -18.01 eV/f.u.. Number 20: DFT total energy -41.10 eV/f.u.. Number 21: DFT total energy -14.03 eV/f.u..